No. 1
A geometry-optimized V6Pb4F19 structure. Source: Alexandria, functional PBE+U.

Structure (POSCAR):
```
V6Pb4F19
1.0
7.951 0.000 -2.811
-3.976 6.886 -2.811
0.000 0.000 8.433
F Pb V
19 4 6
Cartesian
0.000 0.000 0.000
-2.597 4.498 3.673
4.952 4.639 -2.188
0.409 4.645 3.040
1.457 1.969 3.434
-1.549 6.608 2.183
-0.973 2.241 4.994
-1.379 2.388 1.950
1.379 2.388 -1.950
2.757 0.000 1.950
2.597 4.498 -3.673
4.224 1.963 5.398
-0.157 4.209 0.229
3.563 2.247 -0.224
5.194 0.000 3.673
-0.252 4.917 -2.582
5.517 0.278 0.623
2.522 4.923 -0.628
4.139 2.677 2.587
-2.742 4.750 -1.939
0.000 0.000 5.817
1.233 2.136 0.872
5.484 0.000 -1.939
3.255 3.443 -1.915
5.330 2.346 0.896
0.634 5.789 -0.896
-1.354 4.540 1.915
0.721 3.443 4.726
3.342 1.097 3.707
```

## Properties
**Total DFT energy (no corrections)**: -5.711 eV per atom
**ρ**: 5.4 g/cm³

No. 2
A geometry-optimized VPb2F structure. Source: Alexandria, functional PBE+U.

Structure (POSCAR):
```
VPb2F
1.0
0.000 3.517 3.517
3.517 0.000 3.517
3.517 3.517 0.000
Pb V F
2 1 1
Cartesian
1.758 1.758 1.758
5.275 5.275 5.275
3.517 3.517 3.517
0.000 0.000 0.000
```

## Properties
**Total DFT energy (no corrections)**: -4.196 eV per atom
**ρ**: 9.2 g/cm³

No. 3
A geometry-optimized VPb2F6 structure. Source: Alexandria, functional PBE+U.

Structure (POSCAR):
```
VPb2F6
1.0
-3.378 -4.405 -0.636
3.960 -2.540 -3.447
5.239 -1.503 7.125
V F Pb
2 12 4
Cartesian
0.000 0.000 0.000
0.291 -3.472 -2.042
4.594 -7.323 1.767
5.076 -4.346 3.136
5.107 -2.950 5.573
1.951 -3.620 2.441
0.745 -4.101 -0.095
2.403 -3.295 -2.213
0.714 -5.498 -2.531
3.418 -5.152 5.255
1.226 -1.125 1.274
3.870 -4.827 0.601
3.640 -1.418 2.759
2.181 -7.029 0.283
-0.538 -3.397 1.841
6.359 -5.050 1.201
2.724 -6.005 2.576
3.096 -2.442 0.466
```

## Properties
**Total DFT energy (no corrections)**: -5.368 eV per atom
**ρ**: 6.9 g/cm³

No. 4
A geometry-optimized V2PbF structure. Source: Alexandria, functional PBE+U.

Structure (POSCAR):
```
V2PbF
1.0
0.000 3.337 3.337
3.337 0.000 3.337
3.337 3.337 0.000
F Pb V
1 1 2
Cartesian
0.000 0.000 0.000
3.337 3.337 3.337
5.005 5.005 5.005
1.668 1.668 1.668
```

## Properties
**Excess energy over the best structure of this formula in the dataset**: 0.3910 eV/atom
**ρ**: 7.3 g/cm³